ZrMnN2O: optimized geometry, PBE with a Hubbard U. Values from VASP.

The structure in Quantum ESPRESSO input format:
```
&SYSTEM
  ibrav = 0, nat = 5, ntyp = 4
/
ATOMIC_SPECIES
Mn 54.94 Mn.upf
O 16.00 O.upf
Zr 91.22 Zr.upf
N 14.01 N.upf
ATOMIC_POSITIONS angstrom
Mn 2.134 2.134 2.056
O 0.000 0.000 2.056
Zr 0.000 0.000 0.000
N 0.000 2.134 0.000
N 2.134 0.000 0.000
CELL_PARAMETERS angstrom
4.267 0.000 0.000
0.000 4.267 0.000
0.000 0.000 4.112
```

Results
E, Ry/atom: -0.5716
Crystal system: tetragonal
Spin magnetization, μB/f.u.: 3.1